No. 1
SrLiNiP2 | GGA-PBE | optimized geometry

Cell: 6.4674 6.4674 6.4674 Å, 141.69 141.69 55.30°
With the nearest neighbours (Å) after each atom.
Element x y z (fractional)
Sr (0.0000, 0.0000, 0.0000)  4 P 2.78, 4 Ni 3.00
Li (0.7500, 0.2500, 0.5000)  8 P 3.19, 4 Ni 3.56, 4 Sr 3.56
Ni (0.5000, 0.5000, 0.0000)  4 P 2.78, 4 Sr 3.00
P (0.1567, 0.6567, 0.5000)  1 P 2.14
P (0.3433, 0.8433, 0.5000)  1 P 2.14

* crystal system: tetragonal
* space-group type: I-4m2
* size of the total moment: 0.0 μB/cell

No. 2
K5BaPd2 | GGA-PBE | optimized geometry

Cell: 10.8636 7.2410 7.2410 Å, 38.18 90.00 90.00°
With the nearest neighbours (Å) after each atom.
Element x y z (fractional)
K (0.0000, 0.0000, 0.0000)  2 Pd 3.38
K (0.1756, 0.2740, 0.2740)  3 Pd 3.32-3.67
K (0.3112, 0.5824, 0.5824)  3 Pd 3.52-3.62, 2 K 3.83
K (0.6888, 0.5824, 0.5824)  3 Pd 3.52-3.62, 2 K 3.83
K (0.8244, 0.2740, 0.2740)  3 Pd 3.32-3.67
Ba (0.5000, 0.8482, 0.8482)  2 Pd 3.11
Pd (0.0000, 0.6762, 0.6762)  8 K 3.32-3.62
Pd (0.5000, 0.2003, 0.2003)  2 Ba 3.11

* crystal system: orthorhombic
* space-group type: Amm2

No. 3
Er3Tm4Ni2Te2 | GGA-PBE | optimized geometry

Cell: 9.2697 9.2697 9.2697 Å, 156.18 66.97 118.45°
With the nearest neighbours (Å) after each atom.
Element x y z (fractional)
Er (0.0000, 0.0000, 0.0000)  3 Te 3.16-3.20
Er (0.4494, 0.5827, 0.8667)  2 Ni 2.77
Er (0.7160, 0.5827, 0.1333)  2 Ni 2.77
Tm (0.0644, 0.3790, 0.6854)  2 Ni 2.77
Tm (0.0833, 0.7299, 0.3534)  2 Ni 2.81, 2 Te 3.14
Tm (0.3765, 0.7299, 0.6466)  2 Ni 2.81, 2 Te 3.14
Tm (0.6936, 0.3790, 0.3146)  2 Ni 2.77
Ni (0.3093, 0.0719, 0.2374)  4 Tm 2.77-2.81, 2 Er 2.77
Ni (0.8345, 0.0719, 0.7626)  4 Tm 2.77-2.81, 2 Er 2.77
Te (0.3371, 0.3371, 0.0000)  3 Er 3.11-3.20, 4 Tm 3.14
Te (0.7350, 0.2350, 0.5000)  6 Er 3.16, 2 Tm 3.18

* crystal system: orthorhombic
* space-group type: Imm2
* size of the total moment: 0.0 μB/cell

No. 4
LiErCdTe3 | GGA-PBE | optimized geometry

Cell: 7.5070 7.5070 11.5639 Å, 90.00 90.00 146.76°
With the nearest neighbours (Å) after each atom.
Element x y z (fractional)
Li (0.2124, 0.7876, 0.7500)  6 Te 3.21-3.39, 2 Cd 3.48
Li (0.7876, 0.2124, 0.2500)  6 Te 3.21-3.39, 2 Cd 3.48
Er (0.0000, 0.0000, 0.0000)  6 Te 3.07-3.26
Er (0.0000, 0.0000, 0.5000)  6 Te 3.07-3.26
Cd (0.4784, 0.5216, 0.2500)  4 Te 2.80-2.82
Cd (0.5216, 0.4784, 0.7500)  4 Te 2.80-2.82
Te (0.1053, 0.8947, 0.2500)  2 Cd 2.82
Te (0.3555, 0.6445, 0.0619)  1 Cd 2.80, 2 Er 3.07
Te (0.3555, 0.6445, 0.4381)  1 Cd 2.80, 2 Er 3.07
Te (0.6445, 0.3555, 0.5619)  1 Cd 2.80, 2 Er 3.07
Te (0.6445, 0.3555, 0.9381)  1 Cd 2.80, 2 Er 3.07
Te (0.8947, 0.1053, 0.7500)  2 Cd 2.82

* crystal system: orthorhombic
* space-group type: Cmcm
* size of the total moment: 0.0 μB/cell

No. 5
CoCuBPt | GGA-PBE | optimized geometry

Cell: 3.9640 3.9640 3.9640 Å, 60.00 60.00 60.00°
With the nearest neighbours (Å) after each atom.
Element x y z (fractional)
Co (0.0000, 0.0000, 0.0000)  4 Cu 2.43, 4 B 2.43
Cu (0.2500, 0.2500, 0.2500)  4 Co 2.43, 4 Pt 2.43
B (0.7500, 0.7500, 0.7500)  4 Pt 2.43, 4 Co 2.43
Pt (0.5000, 0.5000, 0.5000)  4 B 2.43, 4 Cu 2.43

* crystal system: cubic
* space-group type: F-43m
* size of the total moment: 0.1 μB/cell

No. 6
PrGdSb2Te2 | GGA-PBE | optimized geometry

Cell: 4.3386 4.3386 9.4541 Å, 90.00 90.00 90.00°
With the nearest neighbours (Å) after each atom.
Element x y z (fractional)
Pr (0.0000, 0.0000, 0.0000)  5 Te 3.23-3.36, 4 Sb 3.41
Gd (0.5000, 0.5000, 0.4510)  5 Te 3.20-3.26, 4 Sb 3.36
Sb (0.0000, 0.5000, 0.7218)  4 Sb 3.07, 2 Gd 3.36, 2 Pr 3.41
Sb (0.5000, 0.0000, 0.7218)  4 Sb 3.07, 2 Gd 3.36, 2 Pr 3.41
Te (0.0000, 0.0000, 0.3555)  4 Gd 3.20, 1 Pr 3.36
Te (0.5000, 0.5000, 0.1061)  4 Pr 3.23, 1 Gd 3.26

* crystal system: tetragonal
* space-group type: P4mm
* size of the total moment: 0.0 μB/cell

No. 7
Ni3AgS5 | GGA-PBE | optimized geometry

Cell: 5.5211 5.5211 6.1074 Å, 90.00 90.00 120.00°
With the nearest neighbours (Å) after each atom.
Element x y z (fractional)
Ni (0.0000, 0.5000, 0.0000)  4 S 2.20
Ni (0.5000, 0.0000, 0.0000)  4 S 2.20
Ni (0.5000, 0.5000, 0.0000)  4 S 2.20
Ag (0.0000, 0.0000, 0.5000)  2 S 3.05
S (0.0000, 0.0000, 0.0000)  6 Ni 2.76, 2 Ag 3.05
S (0.3333, 0.6667, 0.2492)  3 Ni 2.20
S (0.3333, 0.6667, 0.7508)  3 Ni 2.20
S (0.6667, 0.3333, 0.2492)  3 Ni 2.20
S (0.6667, 0.3333, 0.7508)  3 Ni 2.20

* crystal system: hexagonal
* space-group type: P6/mmm
* size of the total moment: 0.0 μB/cell

No. 8
ZrInNiAg | GGA-PBE | optimized geometry

Cell: 4.6460 4.6460 4.6460 Å, 60.00 60.00 60.00°
With the nearest neighbours (Å) after each atom.
Element x y z (fractional)
Zr (0.0000, 0.0000, 0.0000)  4 Ni 2.85, 4 Ag 2.85
In (0.5000, 0.5000, 0.5000)  4 Ni 2.85, 4 Ag 2.85
Ni (0.7500, 0.7500, 0.7500)  4 Zr 2.85, 4 In 2.85
Ag (0.2500, 0.2500, 0.2500)  4 Zr 2.85, 4 In 2.85

* crystal system: cubic
* space-group type: F-43m
* size of the total moment: 0.0 μB/cell

No. 9
AcCdBi3 | GGA-PBE | optimized geometry

Cell: 5.6584 5.6584 5.6584 Å, 90.00 90.00 90.00°
With the nearest neighbours (Å) after each atom.
Element x y z (fractional)
Ac (0.0000, 0.0000, 0.0000)  12 Bi 4.00
Cd (0.5000, 0.5000, 0.5000)  6 Bi 2.83
Bi (0.0000, 0.5000, 0.5000)  2 Cd 2.83
Bi (0.5000, 0.0000, 0.5000)  2 Cd 2.83
Bi (0.5000, 0.5000, 0.0000)  2 Cd 2.83

* crystal system: cubic
* space-group type: Pm-3m
* size of the total moment: 0.0 μB/cell

No. 10
Li4Mg2PbAu | GGA-PBE | optimized geometry

Cell: 4.6644 4.6644 6.7244 Å, 90.00 90.00 90.00°
With the nearest neighbours (Å) after each atom.
Element x y z (fractional)
Li (0.0000, 0.0000, 0.0000)  4 Mg 2.78, 4 Li 2.83
Li (0.0000, 0.5000, 0.2379)  4 Li 2.83-2.92, 2 Au 2.83, 2 Pb 2.92, 1 Mg 3.11
Li (0.5000, 0.0000, 0.7621)  4 Li 2.83-2.92, 2 Au 2.83, 2 Pb 2.92, 1 Mg 3.11
Li (0.5000, 0.5000, 0.5000)  4 Li 2.92, 4 Mg 2.98
Mg (0.0000, 0.5000, 0.7756)  5 Li 2.78-3.11, 2 Au 2.78, 2 Pb 2.98
Mg (0.5000, 0.0000, 0.2244)  5 Li 2.78-3.11, 2 Au 2.78, 2 Pb 2.98
Pb (0.0000, 0.0000, 0.5000)  4 Li 2.92, 4 Mg 2.98
Au (0.5000, 0.5000, 0.0000)  4 Mg 2.78, 4 Li 2.83

* crystal system: tetragonal
* space-group type: P-4m2

No. 11
Be2CoRe | GGA-PBE | optimized geometry

Cell: 3.9188 3.9188 3.9188 Å, 60.00 60.00 60.00°
With the nearest neighbours (Å) after each atom.
Element x y z (fractional)
Be (0.0000, 0.0000, 0.0000)  4 Co 2.40, 4 Be 2.40
Be (0.2500, 0.2500, 0.2500)  4 Re 2.40, 4 Be 2.40
Co (0.7500, 0.7500, 0.7500)  4 Re 2.40, 4 Be 2.40
Re (0.5000, 0.5000, 0.5000)  4 Co 2.40, 4 Be 2.40

* crystal system: cubic
* space-group type: F-43m
* size of the total moment: 2.0 μB/cell

No. 12
Ta4PC2S | GGA-PBE | optimized geometry

Cell: 3.2973 3.2973 11.6166 Å, 90.00 90.00 120.00°
With the nearest neighbours (Å) after each atom.
Element x y z (fractional)
Ta (0.0000, 0.0000, 0.1495)  3 C 2.23
Ta (0.0000, 0.0000, 0.8505)  3 C 2.23
Ta (0.3333, 0.6667, 0.3439)  3 C 2.20
Ta (0.3333, 0.6667, 0.6561)  3 C 2.20
P (0.3333, 0.6667, 0.0000)  6 Ta 2.58
C (0.6667, 0.3333, 0.2497)  6 Ta 2.20-2.23
C (0.6667, 0.3333, 0.7503)  6 Ta 2.20-2.23
S (0.0000, 0.0000, 0.5000)  6 Ta 2.63

* crystal system: hexagonal
* space-group type: P-6m2
* size of the total moment: 0.0 μB/cell

No. 13
AlZnW2 | GGA-PBE | optimized geometry

Cell: 4.4239 4.4239 4.4239 Å, 60.00 60.00 60.00°
With the nearest neighbours (Å) after each atom.
Element x y z (fractional)
Al (0.0000, 0.0000, 0.0000)  4 W 2.71, 4 Zn 2.71
Zn (0.2500, 0.2500, 0.2500)  4 W 2.71, 4 Al 2.71
W (0.5000, 0.5000, 0.5000)  4 W 2.71, 4 Zn 2.71
W (0.7500, 0.7500, 0.7500)  4 W 2.71, 4 Al 2.71

* crystal system: cubic
* space-group type: F-43m
* size of the total moment: 0.0 μB/cell

No. 14
CsRe8 | GGA-PBE | optimized geometry

Cell: 8.8457 8.8457 2.7473 Å, 90.00 90.00 120.00°
With the nearest neighbours (Å) after each atom.
Element x y z (fractional)
Cs (0.0000, 0.0000, 0.0000)  2 Cs 2.75, 12 Re 3.07
Re (0.1791, 0.3581, 0.5000)  1 Re 2.36
Re (0.1791, 0.8209, 0.5000)  1 Re 2.36
Re (0.3333, 0.6667, 0.5000)  3 Re 2.36
Re (0.3581, 0.1791, 0.5000)  1 Re 2.36
Re (0.6419, 0.8209, 0.5000)  1 Re 2.36
Re (0.6667, 0.3333, 0.5000)  3 Re 2.36
Re (0.8209, 0.1791, 0.5000)  1 Re 2.36
Re (0.8209, 0.6419, 0.5000)  1 Re 2.36

* crystal system: hexagonal
* space-group type: P6/mmm
* size of the total moment: 0.0 μB/cell

No. 15
ThScGe | GGA-PBE | optimized geometry

Cell: 4.8280 4.8280 4.8280 Å, 60.00 60.00 60.00°
With the nearest neighbours (Å) after each atom.
Element x y z (fractional)
Th (0.0000, 0.0000, 0.0000)  4 Sc 2.96
Sc (0.7500, 0.7500, 0.7500)  4 Ge 2.96, 4 Th 2.96
Ge (0.5000, 0.5000, 0.5000)  4 Sc 2.96

* crystal system: cubic
* space-group type: F-43m
* size of the total moment: 2.5 μB/cell

No. 16
RbTmAsO | GGA-PBE | optimized geometry

Cell: 5.8165 5.8165 5.2797 Å, 90.00 90.00 90.00°
With the nearest neighbours (Å) after each atom.
Element x y z (fractional)
Rb (0.2500, 0.2500, 0.0025)  2 As 2.64, 4 O 2.91
Rb (0.7500, 0.7500, 0.9975)  2 As 2.64, 4 O 2.91
Tm (0.2500, 0.7500, 0.5000)  2 O 2.64, 4 As 2.91
Tm (0.7500, 0.2500, 0.5000)  2 O 2.64, 4 As 2.91
As (0.2500, 0.2500, 0.5030)  2 Rb 2.64, 4 Tm 2.91
As (0.7500, 0.7500, 0.4970)  2 Rb 2.64, 4 Tm 2.91
O (0.2500, 0.7500, 0.0000)  2 Tm 2.64, 4 Rb 2.91
O (0.7500, 0.2500, 0.0000)  2 Tm 2.64, 4 Rb 2.91

* crystal system: tetragonal
* space-group type: P4/nmm
* size of the total moment: 0.0 μB/cell

| no. | raw total energy (eV/atom) |
| --- | --- |
| 1 | -4.1189 |
| 2 | -2.2107 |
| 3 | -5.1363 |
| 4 | -3.6886 |
| 5 | -5.6311 |
| 6 | -5.1472 |
| 7 | -4.4602 |
| 8 | -5.1517 |
| 9 | -3.3910 |
| 10 | -2.5696 |
| 11 | -6.6756 |
| 12 | -10.1438 |
| 13 | -7.5561 |
| 14 | -9.0875 |
| 15 | -5.8325 |
| 16 | -4.6124 |